The following is a DFT calculation (PBE) of crystalline VCoRhBr2 at its relaxed geometry.

Summary:
- Uncorrected formation energy: 1072 meV/atom
- Crystal system: tetragonal
- Symmetry: No. 123

Lattice parameters (Å, degrees): 4.669 4.669 4.429 90.00 90.00 90.00
Sites, in units of the cell vectors:
V1 0.000 0.000 0.000
Co1 0.000 0.000 0.500
Rh1 0.500 0.500 0.000
Br1 0.000 0.500 0.500
Br2 0.500 0.000 0.500

The following is a DFT calculation (PBE) of crystalline Ho2TmZn at its relaxed geometry.

Summary:
- Energy of formation from the pure elements: -0.64 eV per formula unit
- Crystal system: tetragonal
- Relative energy among the computed polymorphs: 0.0 meV per atom
- Symmetry: No. 123

Lattice parameters (Å, degrees): 3.536 3.536 8.514 90.00 90.00 90.00
Sites, in units of the cell vectors:
Ho1 0.000 0.000 0.209
Ho2 0.000 0.000 0.791
Tm1 0.500 0.500 0.500
Zn1 0.500 0.500 0.000

The following is a DFT calculation (PBE) of crystalline WAu3 at its relaxed geometry.

Summary:
- Energy of formation from the pure elements: 2.06 eV per formula unit
- Crystal system: trigonal
- Symmetry: No. 166

Lattice parameters (Å, degrees): 5.537 5.537 5.537 117.38 117.38 117.38
Sites, in units of the cell vectors:
W1 0.000 0.000 0.000
Au1 0.000 0.500 0.500
Au2 0.500 0.000 0.500
Au3 0.500 0.500 0.000

The following is a DFT calculation (PBE) of crystalline Ho2Sc5 at its relaxed geometry.

Summary:
- Energy of formation from the pure elements: 0.89 eV per formula unit
- Crystal system: trigonal
- Relative energy among the computed polymorphs: 72.7 meV per atom
- Symmetry: No. 166

Lattice parameters (Å, degrees): 8.230 8.230 8.230 37.54 37.54 37.54
Sites, in units of the cell vectors:
Ho1 0.138 0.138 0.138
Ho2 0.862 0.862 0.862
Sc1 0.000 0.000 0.000
Sc2 0.289 0.289 0.289
Sc3 0.426 0.426 0.426
Sc4 0.574 0.574 0.574
Sc5 0.711 0.711 0.711